1.
DFT (PBEsol) results for an optimized crystal structure of GePCl2F.

The structure in POSCAR format:
```
GePCl2F
1.0
4.670 0.000 0.000
0.000 4.670 0.000
0.000 0.000 4.929
Ge P Cl F
1 1 2 1
Direct
0.000 0.000 0.000
0.000 0.000 0.500
0.000 0.500 0.000
0.500 0.000 0.000
0.500 0.500 0.500
```

## Properties
E_form (uncorrected) in eV/f.u.: 0.6
Symmetry: P4/mmm
N(E_F) in states/eV/atom: 0.692
Spin magnetization in μB per formula unit: 1.29

---

2.
DFT (PBEsol) results for an optimized crystal structure of ReGeCl2F.

The structure in POSCAR format:
```
ReGeCl2F
1.0
5.242 0.000 0.000
0.000 5.242 0.000
0.000 0.000 4.139
Re Ge Cl F
1 1 2 1
Direct
0.000 0.000 0.000
0.500 0.500 0.500
0.000 0.500 0.500
0.500 0.000 0.500
0.500 0.500 0.000
```

## Properties
E_form (uncorrected) in eV/f.u.: 2.1
Symmetry: P4/mmm
N(E_F) in states/eV/atom: 0.078
Spin magnetization in μB per formula unit: 5.95

---

3.
DFT (PBEsol) results for an optimized crystal structure of HClF2.

The structure in POSCAR format:
```
HClF2
1.0
4.814 0.000 0.000
-1.088 5.183 0.000
-0.685 -2.833 5.084
H Cl F
2 2 4
Direct
0.000 0.000 0.000
0.084 0.448 0.275
0.416 0.331 0.813
0.724 0.435 0.643
0.041 0.221 0.012
0.116 0.595 0.463
0.558 0.158 0.333
0.955 0.769 0.995
```

## Properties
Electronic total energy in eV for the cell shown: -26.6
Symmetry: P1
N(E_F) in states/eV/atom: 0.000
Spin magnetization in μB per formula unit: 0.00

---

4.
DFT (PBEsol) results for an optimized crystal structure of NaHCl2F.

The structure in POSCAR format:
```
NaHCl2F
1.0
4.729 0.000 0.000
0.000 4.729 0.000
0.000 0.000 4.305
Na H Cl F
1 1 2 1
Direct
0.000 0.000 0.000
0.500 0.500 0.000
0.000 0.500 0.500
0.500 0.000 0.500
0.000 0.000 0.500
```

## Properties
Electronic total energy in eV for the cell shown: -11.4
Symmetry: P4/mmm
N(E_F) in states/eV/atom: 0.739
Spin magnetization in μB per formula unit: 0.94

---

5.
DFT (PBEsol) results for an optimized crystal structure of HfClF2.

The structure in POSCAR format:
```
HfClF2
1.0
4.214 0.000 0.000
0.000 4.214 0.000
0.000 0.000 13.882
Hf Cl F
4 4 8
Direct
0.000 0.000 0.000
0.000 0.500 0.250
0.500 0.000 0.750
0.500 0.500 0.500
0.000 0.000 0.500
0.000 0.500 0.750
0.500 0.000 0.250
0.500 0.500 0.000
0.076 0.250 0.125
0.250 0.576 0.375
0.250 0.924 0.875
0.424 0.250 0.625
0.576 0.750 0.625
0.750 0.076 0.875
0.750 0.424 0.375
0.924 0.750 0.125
```

## Properties
E_form (uncorrected) in eV/f.u.: -9.3
Symmetry: I-42d
N(E_F) in states/eV/atom: 0.405
Spin magnetization in μB per formula unit: 0.00

---

6.
DFT (PBEsol) results for an optimized crystal structure of Hf2ClF.

The structure in POSCAR format:
```
Hf2ClF
1.0
6.263 0.000 0.000
0.000 6.263 0.000
0.000 0.000 6.263
Hf Cl F
8 4 4
Direct
0.250 0.250 0.250
0.250 0.250 0.750
0.250 0.750 0.250
0.250 0.750 0.750
0.750 0.250 0.250
0.750 0.250 0.750
0.750 0.750 0.250
0.750 0.750 0.750
0.000 0.000 0.000
0.000 0.500 0.500
0.500 0.000 0.500
0.500 0.500 0.000
0.000 0.000 0.500
0.000 0.500 0.000
0.500 0.000 0.000
0.500 0.500 0.500
```

## Properties
E_form (uncorrected) in eV/f.u.: -2.1
Symmetry: Fm-3m
N(E_F) in states/eV/atom: 0.564
Spin magnetization in μB per formula unit: 0.00

---

7.
DFT (PBEsol) results for an optimized crystal structure of Hf3ClF.

The structure in POSCAR format:
```
Hf3ClF
1.0
4.488 0.000 0.000
0.000 4.488 0.000
0.000 0.000 4.488
Hf Cl F
3 1 1
Direct
0.000 0.000 0.500
0.000 0.500 0.000
0.500 0.000 0.000
0.500 0.500 0.500
0.000 0.000 0.000
```

## Properties
E_form (uncorrected) in eV/f.u.: -0.3
Symmetry: Pm-3m
N(E_F) in states/eV/atom: 1.014
Spin magnetization in μB per formula unit: 0.00

---

8.
DFT (PBEsol) results for an optimized crystal structure of HfCl3F.

The structure in POSCAR format:
```
HfCl3F
1.0
4.514 0.000 0.000
0.000 4.514 0.000
0.000 0.000 4.514
Hf Cl F
1 3 1
Direct
0.000 0.000 0.000
0.000 0.500 0.500
0.500 0.000 0.500
0.500 0.500 0.000
0.500 0.500 0.500
```

## Properties
E_form (uncorrected) in eV/f.u.: 0.8
Symmetry: Pm-3m
N(E_F) in states/eV/atom: 1.169
Spin magnetization in μB per formula unit: 1.27